[1]
DFT (PBE) results for a relaxed Sc6CSe3 crystal.

Unit cell a=6.1522 b=7.0011 c=8.9972 alpha=90.00 beta=87.25 gamma=90.00
Last column: nearest neighbours and their distance in Å.
Fractional positions:
Sc1 0.1567 0.0383 0.7674  1 C 2.28
Sc2 0.3433 0.5383 0.7326  1 C 2.28
Sc3 0.1809 0.3416 0.4494  1 C 2.32
Sc4 0.6404 0.2130 0.5627  1 C 2.27
Sc5 0.3191 0.8416 0.0506  1 C 2.32
Sc6 0.8191 0.6584 0.5506  1 C 2.32
Sc7 0.6567 0.4617 0.2674  1 C 2.28
Sc8 0.1404 0.2870 0.0627  1 C 2.27
Sc9 0.3596 0.7870 0.4373  1 C 2.27
Sc10 0.8433 0.9617 0.2326  1 C 2.28
Sc11 0.6809 0.1584 0.9494  1 C 2.32
Sc12 0.8596 0.7130 0.9373  1 C 2.27
Se1 0.9412 0.3837 0.7465  7 Sc 2.70-3.01
Se2 0.5000 0.5000 0.0000  6 Sc 2.65-2.71
Se3 0.0000 0.0000 0.5000  6 Sc 2.65-2.71
Se4 0.4412 0.1163 0.2465  7 Sc 2.70-3.01
Se5 0.5588 0.8837 0.7535  7 Sc 2.70-3.01
Se6 0.0588 0.6163 0.2535  7 Sc 2.70-3.01
C1 0.5000 0.5000 0.5000  6 Sc 2.27-2.32
C2 0.0000 0.0000 0.0000  6 Sc 2.27-2.32

Calculated values
Uncorrected energy = -136.84 eV/cell
Uncorrected formation energy = -1075 meV per atom
Space group = P2_1/c
Total magnetization = 0.0 μB per cell

---

[2]
DFT (PBE) results for a relaxed Sc5CSe5 crystal.

Unit cell a=5.3482 b=6.5362 c=7.4810 alpha=107.12 beta=90.00 gamma=114.15
Last column: nearest neighbours and their distance in Å.
Fractional positions:
Sc1 0.8537 0.7073 0.1493  1 C 2.36
Sc2 0.1450 0.2900 0.2955  1 C 2.33
Sc3 0.5000 0.0000 0.0000  2 C 2.67, 4 Se 2.69
Sc4 0.1463 0.2927 0.8507  1 C 2.36
Sc5 0.8550 0.7100 0.7045  1 C 2.33
Se1 0.3240 0.6479 0.6679  5 Sc 2.69-2.91
Se2 0.0000 0.0000 0.5000  4 Sc 2.64-2.65
Se3 0.6645 0.3290 0.8251  5 Sc 2.69-2.73
Se4 0.6760 0.3521 0.3321  5 Sc 2.69-2.91
Se5 0.3355 0.6710 0.1749  5 Sc 2.69-2.73
C1 0.0000 0.0000 0.0000  4 Sc 2.33-2.36

Calculated values
Uncorrected energy = -74.56 eV/cell
Uncorrected formation energy = -1478 meV per atom
Space group = C2/m
Total magnetization = 0.0 μB per cell

---

> Number 1 is which compound?

Sc6CSe3

---

> The lowest uncorrected energy belongs to which entry?

Sc6CSe3

---

> What is the uncorrected formation energy in the first record?

-1075 meV per atom